# 1
HoAsRh3 | PBE-GGA | relaxed Values from VASP.

Quantum ESPRESSO input file:
```
&SYSTEM
  ibrav = 0, nat = 10, ntyp = 3
/
ATOMIC_SPECIES
Rh 102.91 Rh.upf
As 74.92 As.upf
Ho 164.93 Ho.upf
CELL_PARAMETERS angstrom
5.429 0.000 0.000
0.000 8.477 0.000
-2.715 -4.239 3.784
ATOMIC_POSITIONS angstrom
Rh 1.357 2.119 0.390
Rh 0.000 5.763 1.892
Rh -1.357 2.119 3.393
Rh 1.357 2.119 3.393
Rh 4.072 2.119 0.390
Rh 2.715 -1.524 1.892
As 2.715 0.000 0.000
As 0.000 4.239 0.000
Ho 2.715 4.192 1.892
Ho 0.000 0.047 1.892
```

## Properties
ΔE_f in meV/atom: -640
Crystal system: orthorhombic
E above lowest polymorph in meV/atom: 0

***

# 2
Ho3As2Rh6 | PBE-GGA | relaxed Values from VASP.

Quantum ESPRESSO input file:
```
&SYSTEM
  ibrav = 0, nat = 22, ntyp = 3
/
ATOMIC_SPECIES
Rh 102.91 Rh.upf
Ho 164.93 Ho.upf
As 74.92 As.upf
CELL_PARAMETERS angstrom
7.552 0.000 -2.670
-3.776 6.541 -2.670
0.000 0.000 8.010
ATOMIC_POSITIONS angstrom
Rh -2.468 4.275 1.030
Rh 1.308 2.266 3.700
Rh 3.776 2.009 2.670
Rh 2.468 4.275 -1.030
Rh -0.148 4.275 2.670
Rh 4.936 0.000 1.030
Rh 0.148 4.275 -2.670
Rh 3.924 2.266 0.000
Rh 2.616 0.000 4.310
Rh -1.308 2.266 4.310
Rh 3.628 2.266 -2.670
Rh 0.000 4.532 0.000
Ho -1.066 1.846 1.507
Ho 2.711 4.695 -3.833
Ho -2.711 4.695 3.833
Ho 1.066 1.846 -1.507
Ho 5.421 0.000 3.833
Ho 2.131 0.000 1.507
As -1.888 3.270 -1.335
As 1.888 3.270 1.335
As 3.776 0.000 -1.335
As 0.000 0.000 4.005
```

## Properties
ΔE_f in meV/atom: -717
Crystal system: cubic

***

# 3
Ho4AsRh2 | PBE-GGA | relaxed Values from VASP.

Quantum ESPRESSO input file:
```
&SYSTEM
  ibrav = 0, nat = 14, ntyp = 3
/
ATOMIC_SPECIES
Ho 164.93 Ho.upf
As 74.92 As.upf
Rh 102.91 Rh.upf
CELL_PARAMETERS angstrom
-4.372 0.919 -6.084
4.340 -6.023 -1.370
-4.199 -0.516 7.006
ATOMIC_POSITIONS angstrom
Ho -3.669 -0.655 3.650
Ho -0.396 -2.838 -1.596
Ho -3.842 -2.996 -1.265
Ho -2.684 -4.780 1.911
Ho 1.809 -5.654 -1.738
Ho -0.627 -1.924 2.107
Ho -5.712 -0.535 0.162
Ho -1.697 -2.769 -4.741
As -3.983 -0.751 6.844
As -0.047 -4.519 0.615
Rh -3.430 -2.092 1.303
Rh -2.408 -0.973 -2.779
Rh -2.161 -3.239 4.175
Rh -0.677 -5.051 -3.378
```

## Properties
ΔE_f in meV/atom: -878
Crystal system: monoclinic

***

# 4
HoAs2Rh4 | PBE-GGA | relaxed Values from VASP.

Quantum ESPRESSO input file:
```
&SYSTEM
  ibrav = 0, nat = 28, ntyp = 3
/
ATOMIC_SPECIES
Rh 102.91 Rh.upf
Ho 164.93 Ho.upf
As 74.92 As.upf
CELL_PARAMETERS angstrom
4.189 0.000 0.000
0.000 6.522 0.000
0.000 0.000 16.838
ATOMIC_POSITIONS angstrom
Rh 3.142 3.202 9.560
Rh 1.047 5.709 2.957
Rh 1.047 1.906 3.607
Rh 3.142 4.178 16.317
Rh 1.047 6.463 15.697
Rh 1.047 1.355 12.026
Rh 1.047 0.917 8.940
Rh 3.142 4.616 13.231
Rh 3.142 5.605 7.898
Rh 3.142 2.448 5.462
Rh 3.142 5.167 4.812
Rh 1.047 2.344 0.521
Rh 1.047 4.074 11.376
Rh 1.047 3.320 7.278
Rh 3.142 0.059 1.141
Rh 3.142 0.813 13.881
Ho 1.047 0.245 6.044
Ho 3.142 6.277 10.794
Ho 1.047 3.016 14.463
Ho 3.142 3.506 2.375
As 3.142 1.613 7.753
As 3.142 0.671 3.511
As 1.047 4.909 9.085
As 1.047 5.851 13.327
As 1.047 4.874 0.666
As 3.142 2.590 11.930
As 3.142 1.648 16.172
As 1.047 3.932 4.908
```

## Properties
ΔE_f in meV/atom: -685
Crystal system: orthorhombic
E above lowest polymorph in meV/atom: 16

***

# 5
HoAs2Rh | PBE-GGA | relaxed Values from VASP.

Quantum ESPRESSO input file:
```
&SYSTEM
  ibrav = 0, nat = 4, ntyp = 3
/
ATOMIC_SPECIES
As 74.92 As.upf
Rh 102.91 Rh.upf
Ho 164.93 Ho.upf
CELL_PARAMETERS angstrom
-2.629 1.207 -1.650
-2.833 0.647 1.626
1.034 9.045 1.611
ATOMIC_POSITIONS angstrom
As -4.559 4.519 0.488
As 0.131 6.380 1.099
Rh -2.214 5.450 0.794
Ho 0.000 0.000 0.000
```

## Properties
ΔE_f in meV/atom: -192
Crystal system: trigonal

***

# 6
HoAs3Rh5 | PBE-GGA | relaxed Values from VASP.

Quantum ESPRESSO input file:
```
&SYSTEM
  ibrav = 0, nat = 18, ntyp = 3
/
ATOMIC_SPECIES
Rh 102.91 Rh.upf
As 74.92 As.upf
Ho 164.93 Ho.upf
CELL_PARAMETERS angstrom
-2.450 -1.290 2.707
-1.650 -3.090 -5.736
8.000 -9.400 2.763
ATOMIC_POSITIONS angstrom
Rh 0.000 0.000 0.000
Rh 5.343 -9.049 3.295
Rh 0.476 -6.868 -0.072
Rh 3.652 -7.063 2.711
Rh 3.424 -6.913 -0.195
Rh 6.240 -10.222 0.778
Rh 0.247 -6.718 -2.977
Rh -1.443 -4.732 -3.561
Rh -2.341 -3.558 -1.044
Rh 4.000 -4.700 1.382
As -1.576 -1.914 0.431
As 5.278 -7.988 0.972
As 2.133 -7.939 -1.852
As 5.476 -11.866 -0.697
As -1.378 -5.792 -1.238
As 1.767 -5.841 1.586
Ho 2.518 -10.627 -0.014
Ho 1.382 -3.153 -0.252
```

## Properties
ΔE_f in meV/atom: -567
Crystal system: orthorhombic

***

Copy entry 4 word for word.
HoAs2Rh4 | PBE-GGA | relaxed Values from VASP.

Quantum ESPRESSO input file:
```
&SYSTEM
  ibrav = 0, nat = 28, ntyp = 3
/
ATOMIC_SPECIES
Rh 102.91 Rh.upf
Ho 164.93 Ho.upf
As 74.92 As.upf
CELL_PARAMETERS angstrom
4.189 0.000 0.000
0.000 6.522 0.000
0.000 0.000 16.838
ATOMIC_POSITIONS angstrom
Rh 3.142 3.202 9.560
Rh 1.047 5.709 2.957
Rh 1.047 1.906 3.607
Rh 3.142 4.178 16.317
Rh 1.047 6.463 15.697
Rh 1.047 1.355 12.026
Rh 1.047 0.917 8.940
Rh 3.142 4.616 13.231
Rh 3.142 5.605 7.898
Rh 3.142 2.448 5.462
Rh 3.142 5.167 4.812
Rh 1.047 2.344 0.521
Rh 1.047 4.074 11.376
Rh 1.047 3.320 7.278
Rh 3.142 0.059 1.141
Rh 3.142 0.813 13.881
Ho 1.047 0.245 6.044
Ho 3.142 6.277 10.794
Ho 1.047 3.016 14.463
Ho 3.142 3.506 2.375
As 3.142 1.613 7.753
As 3.142 0.671 3.511
As 1.047 4.909 9.085
As 1.047 5.851 13.327
As 1.047 4.874 0.666
As 3.142 2.590 11.930
As 3.142 1.648 16.172
As 1.047 3.932 4.908
```

## Properties
ΔE_f in meV/atom: -685
Crystal system: orthorhombic
E above lowest polymorph in meV/atom: 16